1.
Computed, not measured: a geometry-optimized Cr2MoOs structure at the PBE level of DFT.

a = 4.1325 Å, b = 2.6505 Å, c = 5.0456 Å
α = 79.60°, β = 90.00°, γ = 90.00°
Closest atoms and distances in Å follow each position.
Atoms (fractional coordinates):
Mo: 0.5000 0.2500 0.2500  4 Cr 2.54, 2 Os 2.63, 2 Mo 2.65
Cr: 0.0000 0.0537 0.9928  3 Cr 2.48-2.65, 2 Mo 2.54, 2 Os 2.60
Cr: 0.0000 0.4463 0.5072  3 Cr 2.48-2.65, 2 Mo 2.54, 2 Os 2.60
Os: 0.5000 0.7500 0.7500  8 Cr 2.60-2.89, 2 Mo 2.63, 2 Os 2.65

* relative energy among the computed polymorphs: 77 meV/atom
* calculated volume: 13.59 Å³/atom
* energy of formation from the pure elements: 159.5 meV per atom

---

2.
Computed, not measured: a geometry-optimized CrMoOs2 structure at the PBE level of DFT.

a = 5.0763 Å, b = 5.0763 Å, c = 5.0763 Å
α = 145.53°, β = 129.07°, γ = 62.95°
Closest atoms and distances in Å follow each position.
Atoms (fractional coordinates):
Os: 0.7306 0.2306 0.5000  2 Cr 2.55, 4 Mo 2.67, 2 Os 2.83
Os: 0.0074 0.0074 0.0000  4 Cr 2.65, 2 Mo 2.72, 4 Os 2.83-2.92
Mo: 0.2696 0.7696 0.5000  2 Cr 2.45, 6 Os 2.67-2.72
Cr: 0.4924 0.4924 0.0000  2 Mo 2.45, 6 Os 2.55-2.65

* relative energy among the computed polymorphs: 171 meV/atom
* calculated volume: 14.21 Å³/atom
* energy of formation from the pure elements: 252.7 meV per atom

---

3.
Computed, not measured: a geometry-optimized CrMo2Os2 structure at the PBE level of DFT.

a = 7.3799 Å, b = 7.3799 Å, c = 2.8750 Å
α = 90.00°, β = 90.00°, γ = 90.00°
Closest atoms and distances in Å follow each position.
Atoms (fractional coordinates):
Os: 0.1328 0.3672 0.0000  6 Mo 2.54-2.65, 1 Os 2.77
Os: 0.8672 0.6328 0.0000  6 Mo 2.54-2.65, 1 Os 2.77
Os: 0.6328 0.1328 0.0000  6 Mo 2.54-2.65, 1 Os 2.77
Os: 0.3672 0.8672 0.0000  6 Mo 2.54-2.65, 1 Os 2.77
Mo: 0.1665 0.6665 0.5000  6 Os 2.54-2.65
Mo: 0.8335 0.3335 0.5000  6 Os 2.54-2.65
Mo: 0.3335 0.1665 0.5000  6 Os 2.54-2.65
Mo: 0.6665 0.8335 0.5000  6 Os 2.54-2.65
Cr: 0.5000 0.5000 0.0000  2 Cr 2.88, 4 Os 2.88, 8 Mo 3.10
Cr: 0.0000 0.0000 0.0000  2 Cr 2.88, 4 Os 2.88, 8 Mo 3.10

* relative energy among the computed polymorphs: 0 meV/atom
* calculated volume: 15.66 Å³/atom
* energy of formation from the pure elements: 432.1 meV per atom

---

4.
Computed, not measured: a geometry-optimized Cr2MoOs structure at the PBE level of DFT.

a = 2.6374 Å, b = 2.6374 Å, c = 8.3716 Å
α = 90.00°, β = 90.00°, γ = 110.61°
Closest atoms and distances in Å follow each position.
Atoms (fractional coordinates):
Cr: 0.0000 0.0000 0.5015  2 Os 2.57, 2 Mo 2.59, 4 Cr 2.64
Cr: 0.0000 0.0000 0.9985  2 Os 2.57, 2 Mo 2.59, 4 Cr 2.64
Mo: 0.5000 0.5000 0.2500  4 Cr 2.59, 4 Mo 2.64
Os: 0.5000 0.5000 0.7500  4 Cr 2.57, 4 Os 2.64

* relative energy among the computed polymorphs: 143 meV/atom
* calculated volume: 13.63 Å³/atom
* energy of formation from the pure elements: 226.0 meV per atom

---

5.
Computed, not measured: a geometry-optimized CrMo2Os2 structure at the PBE level of DFT.

a = 4.0906 Å, b = 4.0906 Å, c = 6.0595 Å
α = 70.27°, β = 70.27°, γ = 90.00°
Closest atoms and distances in Å follow each position.
Atoms (fractional coordinates):
Os: 0.6127 0.6127 0.7745  1 Os 2.40, 4 Mo 2.51
Os: 0.3873 0.3873 0.2255  1 Os 2.40, 4 Mo 2.51
Cr: 0.0000 0.0000 0.0000  8 Os 3.13, 8 Mo 3.36
Mo: 0.7500 0.2500 0.5000  4 Os 2.51
Mo: 0.2500 0.7500 0.5000  4 Os 2.51

* relative energy among the computed polymorphs: 447 meV/atom
* calculated volume: 17.82 Å³/atom
* energy of formation from the pure elements: 878.9 meV per atom

---

6.
Computed, not measured: a geometry-optimized CrMoOs2 structure at the PBE level of DFT.

a = 4.3265 Å, b = 4.3265 Å, c = 4.3265 Å
α = 60.00°, β = 60.00°, γ = 60.00°
Closest atoms and distances in Å follow each position.
Atoms (fractional coordinates):
Mo: 0.7500 0.7500 0.7500  4 Cr 2.65, 4 Os 2.65
Os: 0.2500 0.2500 0.2500  4 Cr 2.65, 4 Os 2.65
Os: 0.0000 0.0000 0.0000  4 Mo 2.65, 4 Os 2.65
Cr: 0.5000 0.5000 0.5000  4 Mo 2.65, 4 Os 2.65

* relative energy among the computed polymorphs: 279 meV/atom
* calculated volume: 14.32 Å³/atom
* energy of formation from the pure elements: 360.0 meV per atom